No. 1
DFT (PBE) results for FeReMo2 after structural relaxation.

```
data_FeReMo2
_chemical_formula_sum 'Fe1 Re1 Mo2'
_symmetry_space_group_name_H-M 'P 1'
_symmetry_Int_Tables_number 1
_cell_length_a 4.3704
_cell_length_b 4.3704
_cell_length_c 4.3704
_cell_angle_alpha 60.00
_cell_angle_beta 60.00
_cell_angle_gamma 60.00
loop_
_symmetry_equiv_pos_as_xyz
'x,y,z'
loop_
_atom_site_label
_atom_site_type_symbol
_atom_site_fract_x
_atom_site_fract_y
_atom_site_fract_z
Mo1 Mo 0.2500 0.2500 0.2500
Mo2 Mo 0.7500 0.7500 0.7500
Fe1 Fe 0.0000 0.0000 0.0000
Re1 Re 0.5000 0.5000 0.5000
```

Results
- Energy of formation from the pure elements: 0.44 eV per formula unit
- Space group: Fm-3m, No. 225
- Total magnetization: 2.6 μB/cell
- Calculated density: 12.2 g/cm3

No. 2
DFT (PBE) results for Ti2HgSe after structural relaxation.

```
data_Ti2HgSe
_chemical_formula_sum 'Ti2 Hg1 Se1'
_symmetry_space_group_name_H-M 'P 1'
_symmetry_Int_Tables_number 1
_cell_length_a 4.6621
_cell_length_b 4.6621
_cell_length_c 4.6621
_cell_angle_alpha 60.00
_cell_angle_beta 60.00
_cell_angle_gamma 60.00
loop_
_symmetry_equiv_pos_as_xyz
'x,y,z'
loop_
_atom_site_label
_atom_site_type_symbol
_atom_site_fract_x
_atom_site_fract_y
_atom_site_fract_z
Se1 Se 0.0000 0.0000 0.0000
Ti1 Ti 0.2500 0.2500 0.2500
Hg1 Hg 0.5000 0.5000 0.5000
Ti2 Ti 0.7500 0.7500 0.7500
```

Results
- Space group: Fm-3m, No. 225
- Total magnetization: 0.0 μB/cell
- Calculated density: 8.7 g/cm3
- Uncorrected formation energy: -162 meV per atom

No. 3
DFT (PBE) results for CsCdPb2Se4 after structural relaxation.

```
data_CsCdPb2Se4
_chemical_formula_sum 'Cs2 Cd2 Pb4 Se8'
_symmetry_space_group_name_H-M 'P 1'
_symmetry_Int_Tables_number 1
_cell_length_a 4.4282
_cell_length_b 7.9801
_cell_length_c 15.5686
_cell_angle_alpha 90.00
_cell_angle_beta 90.00
_cell_angle_gamma 106.11
loop_
_symmetry_equiv_pos_as_xyz
'x,y,z'
loop_
_atom_site_label
_atom_site_type_symbol
_atom_site_fract_x
_atom_site_fract_y
_atom_site_fract_z
Se1 Se 0.7490 0.4981 0.6027
Cd1 Cd 0.1639 0.3277 0.2500
Se2 Se 0.2510 0.5019 0.3973
Cs1 Cs 0.8853 0.7705 0.2500
Se3 Se 0.7490 0.4981 0.8973
Pb1 Pb 0.6256 0.2512 0.4461
Se4 Se 0.0000 0.0000 0.5000
Pb2 Pb 0.6256 0.2512 0.0539
Se5 Se 0.4325 0.8650 0.7500
Se6 Se 0.0000 0.0000 0.0000
Se7 Se 0.5675 0.1350 0.2500
Pb3 Pb 0.3744 0.7488 0.5539
Cs2 Cs 0.1147 0.2295 0.7500
Cd2 Cd 0.8361 0.6723 0.7500
Pb4 Pb 0.3744 0.7488 0.9461
Se8 Se 0.2510 0.5019 0.1027
```

Results
- Space group: Cmcm, No. 63
- Total magnetization: 0.0 μB/cell
- Calculated density: 6.1 g/cm3
- Uncorrected formation energy: -608 meV per atom

No. 4
DFT (PBE) results for Cs4K4Rb after structural relaxation.

```
data_Cs4K4Rb
_chemical_formula_sum 'Cs4 K4 Rb1'
_symmetry_space_group_name_H-M 'P 1'
_symmetry_Int_Tables_number 1
_cell_length_a 7.2590
_cell_length_b 11.2795
_cell_length_c 11.2795
_cell_angle_alpha 84.06
_cell_angle_beta 71.23
_cell_angle_gamma 71.23
loop_
_symmetry_equiv_pos_as_xyz
'x,y,z'
loop_
_atom_site_label
_atom_site_type_symbol
_atom_site_fract_x
_atom_site_fract_y
_atom_site_fract_z
K1 K 0.0000 0.6519 0.3480
Cs1 Cs 0.6688 0.9999 0.6626
K2 K 0.0000 0.3481 0.6520
Rb1 Rb 0.0000 0.0000 0.0000
Cs2 Cs 0.3314 0.3374 0.9999
Cs3 Cs 0.3312 0.0001 0.3374
Cs4 Cs 0.6686 0.6626 0.0001
K3 K 0.6519 0.3480 0.3481
K4 K 0.3481 0.6520 0.6519
```

Results
- Energy of formation from the pure elements: 0.08 eV per formula unit
- Space group: I4/mmm, No. 139
- Total magnetization: 0.0 μB/cell
- Calculated density: 1.6 g/cm3